{"formula": "ZnB2Pd", "functional": "GGA-PBE", "state": "relaxed", "total_energy_ev_per_fu": -15.4, "sg": "F-43m", "lattice": [[0.000, 2.813, 2.813], [2.813, 0.000, 2.813], [2.813, 2.813, 0.000]], "species": ["B", "B", "Pd", "Zn"], "fractional_positions": [[0.000, 0.000, 0.000], [0.750, 0.750, 0.750], [0.500, 0.500, 0.500], [0.250, 0.250, 0.250]]}